4
Lattice="4.471 0.000 0.000 0.000 4.471 0.000 0.000 0.000 4.471" Properties=species:S:1:pos:R:3 comment="Hf3Pb (GGA-PBE, optimized geometry)" total_magnetization_mub_per_cell=0.00 crystal_system=cubic sg=Pm-3m e_form_ev_per_atom=-0.01 pbc="T T T"
Hf 2.235 2.235 0.000
Hf 2.235 0.000 2.235
Hf 0.000 2.235 2.235
Pb 0.000 0.000 0.000